HfFeAs3 | the Alexandria database | PBE | optimized geometry; E_form = 71.5 kJ per mole of atoms; energy above the most stable polymorph in this dataset = 8.06 kcal/mol of atoms; N(E_F) = 11.549 states/eV/f.u.
1.0
5.1080 0.0000 0.0000
0.0000 5.1080 0.0000
0.0000 0.0000 5.1080
Hf Fe As
1 1 3
Direct
0.0000 0.0000 0.0000
0.5000 0.5000 0.5000
0.0000 0.0000 0.5000
0.0000 0.5000 0.0000
0.5000 0.0000 0.0000

Tb2Ho3In3 | the Alexandria database | PBE | optimized geometry; E_form = -33.6 kJ per mole of atoms; energy above the most stable polymorph in this dataset = 0.16 kcal/mol of atoms; N(E_F) = 7.588 states/eV/f.u.
1.0
4.8987 0.0000 0.0000
0.0000 4.9056 0.0000
0.0000 0.0000 9.1458
Tb Ho In
2 3 3
Direct
0.0000 0.0000 0.2386
0.0000 0.0000 0.7614
0.5000 0.0000 0.5000
0.5000 0.5000 0.2356
0.5000 0.5000 0.7644
0.0000 0.5000 0.0000
0.0000 0.5000 0.5000
0.5000 0.0000 0.0000

TbTm2PbC | the Alexandria database | PBE | optimized geometry; E_form = -53.2 kJ per mole of atoms; N(E_F) = 2.059 states/eV/f.u.
1.0
4.8386 0.0000 0.0000
0.0000 4.8386 0.0000
0.0000 0.0000 4.9506
Tb Tm Pb C
1 2 1 1
Direct
0.0000 0.0000 0.0000
0.0000 0.5000 0.5000
0.5000 0.0000 0.5000
0.5000 0.5000 0.0000
0.0000 0.0000 0.5000

SrTl3Hg8 | the Alexandria database | PBE | optimized geometry; E_form = -10.9 kJ per mole of atoms; N(E_F) = 4.999 states/eV/f.u.
1.0
6.2290 0.0000 0.0000
-3.1145 5.3945 0.0000
0.0000 0.0000 10.1139
Sr Tl Hg
1 3 8
Direct
0.0000 0.0000 0.0000
0.0000 0.0000 0.3760
0.6667 0.3333 0.5023
0.6667 0.3333 0.8648
0.1617 0.3234 0.6897
0.1617 0.8383 0.6897
0.3333 0.6667 0.4377
0.3333 0.6667 0.9360
0.5050 0.0100 0.1863
0.5050 0.4950 0.1863
0.6766 0.8383 0.6897
0.9900 0.4950 0.1863

NpAgPb2O6 | the Alexandria database | PBE | optimized geometry; raw formation energy = -155 kJ/mol of atoms
1.0
6.1064 0.0000 0.0000
-0.1104 6.1073 0.0000
-2.9975 -3.0219 4.4285
Np Ag Pb O
1 1 2 6
Direct
0.0000 0.0000 0.0000
0.4816 0.5189 0.0347
0.2028 0.7620 0.5342
0.7069 0.3004 0.5898
0.1202 0.2005 0.8684
0.2330 0.3221 0.4442
0.3213 0.8875 0.0825
0.6856 0.1226 0.8965
0.8159 0.6732 0.5550
0.8606 0.7451 0.0721

LiGaNO2 | the Alexandria database | PBE | optimized geometry; raw formation energy = 52 kJ/mol of atoms; N(E_F) = 1.326 states/eV/f.u.
1.0
3.5537 0.0000 0.0000
0.0000 3.5537 0.0000
0.0000 0.0000 3.9397
Li Ga N O
1 1 1 2
Direct
0.0000 0.0000 0.0000
0.5000 0.5000 0.5000
0.0000 0.0000 0.5000
0.0000 0.5000 0.0000
0.5000 0.0000 0.0000

CaRu4Cl2 | the Alexandria database | PBE | optimized geometry; raw formation energy = 183 kJ/mol of atoms; N(E_F) = 8.706 states/eV/f.u.
1.0
-2.3883 2.3883 6.5128
2.3883 -2.3883 6.5128
2.3883 2.3883 -6.5128
Ca Ru Cl
1 4 2
Direct
0.0000 0.0000 0.0000
0.0000 0.5000 0.5000
0.2211 0.2211 0.0000
0.5000 0.0000 0.5000
0.7789 0.7789 0.0000
0.3944 0.3944 0.0000
0.6056 0.6056 0.0000

MnTlPb2I8 | the Alexandria database | PBE | optimized geometry; raw formation energy = -46 kJ/mol of atoms; N(E_F) = 5.415 states/eV/f.u.
1.0
7.1706 0.0000 0.0000
0.0000 9.4474 0.0000
-0.3860 0.0000 7.7180
Mn Tl Pb I
1 1 2 8
Direct
0.0000 0.0000 0.0000
0.0000 0.5000 0.0000
0.5000 0.2339 0.5000
0.5000 0.7661 0.5000
0.2283 0.2036 0.1426
0.2283 0.7964 0.1426
0.2361 0.0000 0.6736
0.2806 0.5000 0.6597
0.7194 0.5000 0.3403
0.7639 0.0000 0.3264
0.7717 0.2036 0.8574
0.7717 0.7964 0.8574

Tm2Zr2Sb2C | the Alexandria database | PBE | optimized geometry; raw formation energy = -76 kJ/mol of atoms; N(E_F) = 4.119 states/eV/f.u.
1.0
-2.2503 2.2503 7.7945
2.2503 -2.2503 7.7945
2.2503 2.2503 -7.7945
Tm Zr Sb C
2 2 2 1
Direct
0.1602 0.1602 0.0000
0.8398 0.8398 0.0000
0.0000 0.5000 0.5000
0.5000 0.0000 0.5000
0.3594 0.3594 0.0000
0.6406 0.6406 0.0000
0.0000 0.0000 0.0000

La2CuSn3Rh4 | the Alexandria database | PBE | optimized geometry; E_form = -63.0 kJ per mole of atoms; N(E_F) = 6.145 states/eV/f.u.
1.0
4.3838 0.0000 0.0000
0.0000 4.3838 0.0000
0.0000 0.0000 11.1110
La Cu Sn Rh
2 1 3 4
Direct
0.0000 0.5000 0.2387
0.5000 0.0000 0.7613
0.5000 0.5000 0.0000
0.0000 0.0000 0.0000
0.0000 0.5000 0.6298
0.5000 0.0000 0.3702
0.0000 0.0000 0.5000
0.0000 0.5000 0.8663
0.5000 0.0000 0.1337
0.5000 0.5000 0.5000

Tb2YMg | the Alexandria database | PBE | optimized geometry; E_form = 5.5 kJ per mole of atoms; energy above the most stable polymorph in this dataset = 2.14 kcal/mol of atoms; N(E_F) = 5.155 states/eV/f.u.
1.0
0.0000 3.9057 3.9057
3.9057 0.0000 3.9057
3.9057 3.9057 0.0000
Tb Y Mg
2 1 1
Direct
0.2500 0.2500 0.2500
0.7500 0.7500 0.7500
0.0000 0.0000 0.0000
0.5000 0.5000 0.5000

Let's list mass density in order: 5.7 8.7 10.3 11.3 8.6 4.1 5.8 5.4 8.2 8.6 6.0 g/cm³.